# 1
Below is a relaxed structure of NiRu3S, with properties calculated at the PBE level.

Formation energy (no corrections) (eV per formula unit): 8.46
Energy relative to the lowest polymorph listed for this composition (meV per atom): 989

a = 4.514 Å, b = 4.514 Å, c = 4.514 Å
α = 90.00°, β = 90.00°, γ = 90.00°
Last column: magnetic moment on the atom in μB.
Positions (direct):
Ru: 0.500 0.000 0.000  1.60
Ru: 0.000 0.500 0.000  2.07
Ni: 0.000 0.000 0.000  0.80
Ru: 0.000 0.000 0.500  2.18
S: 0.500 0.500 0.500  0.14


# 2
Below is a relaxed structure of MnRuRh, with properties calculated at the PBE level.

Energy relative to the lowest polymorph listed for this composition (meV per atom): 64
Formation energy from the elements (meV per atom): 12

a = 6.748 Å, b = 4.652 Å, c = 7.972 Å
α = 90.00°, β = 141.46°, γ = 90.00°
Positions (direct):
Mn: 0.902 0.423 0.785
Mn: 0.902 0.923 0.285
Ru: 0.901 0.412 0.455
Ru: 0.401 0.088 0.455
Mn: 0.402 0.077 0.785
Mn: 0.402 0.577 0.285
Ru: 0.401 0.588 0.955
Rh: 0.398 0.089 0.113
Rh: 0.898 0.911 0.613
Rh: 0.398 0.589 0.613
Rh: 0.898 0.411 0.113
Ru: 0.901 0.912 0.955


# 3
Below is a relaxed structure of Mg2ScP2, with properties calculated at the PBE level.

Formation energy from the elements (meV per atom): -202

a = 5.502 Å, b = 5.502 Å, c = 5.502 Å
α = 127.94°, β = 127.94°, γ = 76.73°
Positions (direct):
Mg: 0.341 0.341 0.000
Sc: 0.000 0.000 0.000
P: 0.750 0.250 0.500
Mg: 0.659 0.659 0.000
P: 0.250 0.750 0.500


# 4
Below is a relaxed structure of RbAgTeN2, with properties calculated at the PBE level.

Formation energy (no corrections) (eV per formula unit): 7.40
Energy relative to the lowest polymorph listed for this composition (meV per atom): 0

a = 4.737 Å, b = 4.737 Å, c = 5.640 Å
α = 90.00°, β = 90.00°, γ = 90.00°
Last column: magnetic moment on the atom in μB.
Positions (direct):
Rb: 0.500 0.500 0.500  0.02
N: 0.500 0.000 0.000  1.27
Ag: 0.000 0.000 0.000  0.10
Te: 0.000 0.000 0.500  0.29
N: 0.000 0.500 0.000  1.27


# 5
Below is a relaxed structure of LaInNi3, with properties calculated at the PBE level.

Energy relative to the lowest polymorph listed for this composition (meV per atom): 0
Formation energy from the elements (meV per atom): 339

a = 4.731 Å, b = 4.731 Å, c = 4.731 Å
α = 90.00°, β = 90.00°, γ = 90.00°
Positions (direct):
Ni: 0.000 0.000 0.500
Ni: 0.000 0.500 0.000
Ni: 0.500 0.000 0.000
La: 0.500 0.500 0.500
In: 0.000 0.000 0.000


# 6
Below is a relaxed structure of GaBiTe, with properties calculated at the PBE level.

Formation energy (no corrections) (eV per formula unit): -0.23
Energy relative to the lowest polymorph listed for this composition (meV per atom): 130

a = 3.873 Å, b = 3.873 Å, c = 8.125 Å
α = 84.32°, β = 84.32°, γ = 60.00°
Positions (direct):
Bi: 0.298 0.298 0.162
Ga: 0.250 0.250 0.502
Te: 0.892 0.892 0.677


# 7
Below is a relaxed structure of Ge2PdRh, with properties calculated at the PBE level.

Energy relative to the lowest polymorph listed for this composition (meV per atom): 98
Formation energy from the elements (meV per atom): -260

a = 4.408 Å, b = 4.408 Å, c = 4.408 Å
α = 60.00°, β = 60.00°, γ = 60.00°
Positions (direct):
Rh: 0.000 0.000 0.000
Pd: 0.500 0.500 0.500
Ge: 0.250 0.250 0.250
Ge: 0.750 0.750 0.750


# 8
Below is a relaxed structure of W3SI, with properties calculated at the PBE level.

Formation energy (no corrections) (eV per formula unit): 7.18
Energy relative to the lowest polymorph listed for this composition (meV per atom): 0

a = 4.537 Å, b = 4.537 Å, c = 4.537 Å
α = 90.00°, β = 90.00°, γ = 90.00°
Positions (direct):
I: 0.500 0.500 0.500
W: 0.000 0.000 0.500
W: 0.000 0.500 0.000
S: 0.000 0.000 0.000
W: 0.500 0.000 0.000


# 9
Below is a relaxed structure of Li2SiBi, with properties calculated at the PBE level.

Formation energy (no corrections) (eV per formula unit): -0.41
Energy relative to the lowest polymorph listed for this composition (meV per atom): 0

a = 4.766 Å, b = 4.766 Å, c = 4.766 Å
α = 60.00°, β = 60.00°, γ = 60.00°
Positions (direct):
Li: 0.750 0.750 0.750
Li: 0.250 0.250 0.250
Bi: 0.500 0.500 0.500
Si: 0.000 0.000 0.000


# 10
Below is a relaxed structure of As2PRh8, with properties calculated at the PBE level.

Formation energy from the elements (meV per atom): -219

a = 4.077 Å, b = 7.200 Å, c = 6.855 Å
α = 121.68°, β = 107.30°, γ = 90.00°
Positions (direct):
Rh: 0.658 0.412 0.317
Rh: 0.000 0.315 0.000
As: 0.186 0.686 0.373
As: 0.814 0.314 0.627
Rh: 0.870 0.870 0.740
Rh: 0.658 0.905 0.317
Rh: 0.000 0.685 0.000
P: 0.500 0.000 0.000
Rh: 0.342 0.095 0.683
Rh: 0.130 0.130 0.260
Rh: 0.342 0.588 0.683


# 11
Below is a relaxed structure of PrNd2In9, with properties calculated at the PBE level.

Formation energy from the elements (meV per atom): -473

a = 4.723 Å, b = 4.723 Å, c = 14.177 Å
α = 90.00°, β = 90.00°, γ = 90.00°
Positions (direct):
In: 0.500 0.000 0.832
In: 0.500 0.000 0.168
In: 0.500 0.500 0.334
In: 0.000 0.500 0.832
Nd: 0.000 0.000 0.666
In: 0.000 0.500 0.500
In: 0.500 0.000 0.500
In: 0.500 0.500 0.666
Nd: 0.000 0.000 0.334
In: 0.000 0.500 0.168
In: 0.500 0.500 0.000
Pr: 0.000 0.000 0.000


Calculated V (Å³ per cell), listed in the same order as above: 92; 156; 101; 127; 106; 105; 61; 93; 77; 160; 316